No. 1
The following is a GGA-PBEsol calculation of an optimized crystal structure of BaTaCr2, from Alexandria.

Computed properties:
- Formation energy from the elements: 1.404 eV per atom
- Distance to the lowest polymorph of the same formula: 0.503 eV per atom
- Symmetry: No. 216

CIF file:
```
data_BaTaCr2
_space_group_name_H-M_alt 'P 1'
_space_group_IT_number 1
_space_group_name_Hall 'P 1'
_cell_length_a 4.773
_cell_length_b 4.773
_cell_length_c 4.773
_cell_angle_alpha 60.00
_cell_angle_beta 60.00
_cell_angle_gamma 60.00
loop_
_atom_site_label
_atom_site_fract_x
_atom_site_fract_y
_atom_site_fract_z
Ta1 0.750 0.750 0.750
Cr1 0.250 0.250 0.250
Cr2 0.000 0.000 0.000
Ba1 0.500 0.500 0.500
```



No. 2
The following is a GGA-PBEsol calculation of an optimized crystal structure of Ba2TaCr, from Alexandria.

Computed properties:
- Formation energy from the elements: 1.363 eV per atom
- Symmetry: No. 123

CIF file:
```
data_Ba2TaCr
_space_group_name_H-M_alt 'P 1'
_space_group_IT_number 1
_space_group_name_Hall 'P 1'
_cell_length_a 3.406
_cell_length_b 5.895
_cell_length_c 5.895
_cell_angle_alpha 90.00
_cell_angle_beta 90.00
_cell_angle_gamma 90.00
loop_
_atom_site_label
_atom_site_fract_x
_atom_site_fract_y
_atom_site_fract_z
Cr1 0.500 0.500 0.500
Ba1 0.000 0.500 0.000
Ba2 0.000 0.000 0.500
Ta1 0.500 0.000 0.000
```



No. 3
The following is a GGA-PBEsol calculation of an optimized crystal structure of BaTaCr2, from Alexandria.

Computed properties:
- Formation energy from the elements: 1.305 eV per atom
- Distance to the lowest polymorph of the same formula: 0.404 eV per atom
- Symmetry: No. 123

CIF file:
```
data_BaTaCr2
_space_group_name_H-M_alt 'P 1'
_space_group_IT_number 1
_space_group_name_Hall 'P 1'
_cell_length_a 3.127
_cell_length_b 5.052
_cell_length_c 5.052
_cell_angle_alpha 90.00
_cell_angle_beta 90.00
_cell_angle_gamma 90.00
loop_
_atom_site_label
_atom_site_fract_x
_atom_site_fract_y
_atom_site_fract_z
Cr1 0.000 0.500 0.000
Cr2 0.000 0.000 0.500
Ba1 0.500 0.000 0.000
Ta1 0.500 0.500 0.500
```



No. 4
The following is a GGA-PBEsol calculation of an optimized crystal structure of BaCr2Tc, from Alexandria.

Computed properties:
- Formation energy from the elements: 1.412 eV per atom
- Distance to the lowest polymorph of the same formula: 0.656 eV per atom
- Symmetry: No. 225

CIF file:
```
data_BaCr2Tc
_space_group_name_H-M_alt 'P 1'
_space_group_IT_number 1
_space_group_name_Hall 'P 1'
_cell_length_a 4.505
_cell_length_b 4.505
_cell_length_c 4.505
_cell_angle_alpha 60.00
_cell_angle_beta 60.00
_cell_angle_gamma 60.00
loop_
_atom_site_label
_atom_site_fract_x
_atom_site_fract_y
_atom_site_fract_z
Tc1 0.000 0.000 0.000
Ba1 0.500 0.500 0.500
Cr1 0.250 0.250 0.250
Cr2 0.750 0.750 0.750
```



No. 5
The following is a GGA-PBEsol calculation of an optimized crystal structure of BaCr2Tc, from Alexandria.

Computed properties:
- Formation energy from the elements: 0.755 eV per atom
- Distance to the lowest polymorph of the same formula: 0.000 eV per atom
- Symmetry: No. 123

CIF file:
```
data_BaCr2Tc
_space_group_name_H-M_alt 'P 1'
_space_group_IT_number 1
_space_group_name_Hall 'P 1'
_cell_length_a 3.244
_cell_length_b 3.244
_cell_length_c 7.474
_cell_angle_alpha 90.00
_cell_angle_beta 90.00
_cell_angle_gamma 90.00
loop_
_atom_site_label
_atom_site_fract_x
_atom_site_fract_y
_atom_site_fract_z
Ba1 0.500 0.500 0.500
Tc1 0.500 0.500 0.000
Cr1 0.000 0.000 0.136
Cr2 0.000 0.000 0.864
```



No. 6
The following is a GGA-PBEsol calculation of an optimized crystal structure of Ba2CrTc, from Alexandria.

Computed properties:
- Formation energy from the elements: 1.202 eV per atom
- Symmetry: No. 216

CIF file:
```
data_Ba2CrTc
_space_group_name_H-M_alt 'P 1'
_space_group_IT_number 1
_space_group_name_Hall 'P 1'
_cell_length_a 5.287
_cell_length_b 5.287
_cell_length_c 5.287
_cell_angle_alpha 60.00
_cell_angle_beta 60.00
_cell_angle_gamma 60.00
loop_
_atom_site_label
_atom_site_fract_x
_atom_site_fract_y
_atom_site_fract_z
Ba1 0.750 0.750 0.750
Ba2 0.000 0.000 0.000
Tc1 0.250 0.250 0.250
Cr1 0.500 0.500 0.500
```



No. 7
The following is a GGA-PBEsol calculation of an optimized crystal structure of BaCr2Tc, from Alexandria.

Computed properties:
- Formation energy from the elements: 1.373 eV per atom
- Distance to the lowest polymorph of the same formula: 0.618 eV per atom
- Symmetry: No. 47

CIF file:
```
data_BaCr2Tc
_space_group_name_H-M_alt 'P 1'
_space_group_IT_number 1
_space_group_name_Hall 'P 1'
_cell_length_a 3.249
_cell_length_b 4.988
_cell_length_c 4.538
_cell_angle_alpha 90.00
_cell_angle_beta 90.00
_cell_angle_gamma 90.00
loop_
_atom_site_label
_atom_site_fract_x
_atom_site_fract_y
_atom_site_fract_z
Ba1 0.000 0.500 0.500
Cr1 0.000 0.000 0.000
Cr2 0.500 0.000 0.500
Tc1 0.500 0.500 0.000
```



No. 8
The following is a GGA-PBEsol calculation of an optimized crystal structure of BaCr2Tc, from Alexandria.

Computed properties:
- Formation energy from the elements: 1.133 eV per atom
- Distance to the lowest polymorph of the same formula: 0.378 eV per atom
- Symmetry: No. 166

CIF file:
```
data_BaCr2Tc
_space_group_name_H-M_alt 'P 1'
_space_group_IT_number 1
_space_group_name_Hall 'P 1'
_cell_length_a 3.163
_cell_length_b 3.163
_cell_length_c 9.281
_cell_angle_alpha 80.19
_cell_angle_beta 80.19
_cell_angle_gamma 60.00
loop_
_atom_site_label
_atom_site_fract_x
_atom_site_fract_y
_atom_site_fract_z
Cr1 0.227 0.227 0.318
Cr2 0.773 0.773 0.682
Ba1 0.000 0.000 0.000
Tc1 0.500 0.500 0.500
```



No. 9
The following is a GGA-PBEsol calculation of an optimized crystal structure of BaCr2Tc, from Alexandria.

Computed properties:
- Formation energy from the elements: 1.477 eV per atom
- Distance to the lowest polymorph of the same formula: 0.722 eV per atom
- Symmetry: No. 123

CIF file:
```
data_BaCr2Tc
_space_group_name_H-M_alt 'P 1'
_space_group_IT_number 1
_space_group_name_Hall 'P 1'
_cell_length_a 3.071
_cell_length_b 4.890
_cell_length_c 4.890
_cell_angle_alpha 90.00
_cell_angle_beta 90.00
_cell_angle_gamma 90.00
loop_
_atom_site_label
_atom_site_fract_x
_atom_site_fract_y
_atom_site_fract_z
Cr1 0.000 0.000 0.500
Cr2 0.000 0.500 0.000
Ba1 0.500 0.000 0.000
Tc1 0.500 0.500 0.500
```



No. 10
The following is a GGA-PBEsol calculation of an optimized crystal structure of Ba2CrTe, from Alexandria.

Computed properties:
- Uncorrected formation energy: -0.98 eV/f.u.
- Symmetry: No. 123

CIF file:
```
data_Ba2CrTe
_space_group_name_H-M_alt 'P 1'
_space_group_IT_number 1
_space_group_name_Hall 'P 1'
_cell_length_a 4.274
_cell_length_b 5.722
_cell_length_c 5.722
_cell_angle_alpha 90.00
_cell_angle_beta 90.00
_cell_angle_gamma 90.00
loop_
_atom_site_label
_atom_site_fract_x
_atom_site_fract_y
_atom_site_fract_z
Ba1 0.000 0.000 0.500
Ba2 0.000 0.500 0.000
Cr1 0.500 0.500 0.500
Te1 0.500 0.000 0.000
```



No. 11
The following is a GGA-PBEsol calculation of an optimized crystal structure of BaCr3Te, from Alexandria.

Computed properties:
- Uncorrected formation energy: 11.55 eV/f.u.
- Symmetry: No. 221

CIF file:
```
data_BaCr3Te
_space_group_name_H-M_alt 'P 1'
_space_group_IT_number 1
_space_group_name_Hall 'P 1'
_cell_length_a 5.074
_cell_length_b 5.074
_cell_length_c 5.074
_cell_angle_alpha 90.00
_cell_angle_beta 90.00
_cell_angle_gamma 90.00
loop_
_atom_site_label
_atom_site_fract_x
_atom_site_fract_y
_atom_site_fract_z
Te1 0.500 0.500 0.500
Cr1 0.000 0.500 0.000
Cr2 0.000 0.000 0.500
Cr3 0.500 0.000 0.000
Ba1 0.000 0.000 0.000
```



No. 12
The following is a GGA-PBEsol calculation of an optimized crystal structure of BaTi2CrW, from Alexandria.

Computed properties:
- Formation energy from the elements: 2.630 eV per atom
- Symmetry: No. 123

CIF file:
```
data_BaTi2CrW
_space_group_name_H-M_alt 'P 1'
_space_group_IT_number 1
_space_group_name_Hall 'P 1'
_cell_length_a 4.825
_cell_length_b 4.825
_cell_length_c 4.972
_cell_angle_alpha 90.00
_cell_angle_beta 90.00
_cell_angle_gamma 90.00
loop_
_atom_site_label
_atom_site_fract_x
_atom_site_fract_y
_atom_site_fract_z
W1 0.000 0.000 0.500
Ti1 0.500 0.000 0.000
Ti2 0.000 0.500 0.000
Cr1 0.500 0.500 0.500
Ba1 0.000 0.000 0.000
```